VASP calculation (PBE) on a geometry-optimized PmMgCu3 structure.

a b c (Å): 3.664 24.792 4.134
angles (deg): 90.00 90.00 90.00
Space group Cmcm (No. 63)
Asymmetric unit:
Pm  0.000  0.077  0.250 x4
Mg  0.000  0.209  0.750 x4
Cu  0.000  0.318  0.750 x4
Cu  0.000  0.372  0.250 x4
Cu  0.000  0.473  0.250 x4

DFT formation energy   -0.14 eV/atom
Total energy   -3.865 eV/atom

=====

VASP calculation (PBE) on a geometry-optimized TlIrPt3 structure.

a b c (Å): 4.908 4.908 4.908
angles (deg): 90.00 90.00 90.00
Space group Pm-3m (No. 221)
Asymmetric unit:
Tl  0.000  0.000  0.000 x1
Ir  0.500  0.500  0.500 x1
Pt  0.000  0.500  0.500 x3

DFT formation energy   1.00 eV/atom
Total energy   -4.871 eV/atom